VASP calculation (GGA-PBE) on a relaxed structure of Te6MoRh. Values from VASP.

Space-group type: P-1, No. 2
ΔE_f (raw) (eV/atom): -0.119
VASP energy (eV per formula unit): -38.0

Quantum ESPRESSO input file:
```
&SYSTEM
  ibrav = 0, nat = 8, ntyp = 3
/
ATOMIC_SPECIES
Te 127.60 Te.upf
Mo 95.94 Mo.upf
Rh 102.91 Rh.upf
ATOMIC_POSITIONS crystal
Te 0.009 0.210 0.413
Te 0.335 0.209 0.712
Te 0.367 0.695 0.919
Te 0.633 0.305 0.081
Te 0.665 0.791 0.288
Te 0.991 0.790 0.587
Mo 0.500 0.000 0.000
Rh 0.500 0.500 0.500
CELL_PARAMETERS angstrom
6.463 0.000 0.000
3.051 5.894 0.000
3.203 -1.455 5.700
```

VASP calculation (GGA-PBE) on a relaxed structure of TlTeMoRh2. Values from VASP.

Space-group type: P4/mmm, No. 123
ΔE_f (raw) (eV/atom): 1.765
VASP energy (eV per formula unit): -22.2

Quantum ESPRESSO input file:
```
&SYSTEM
  ibrav = 0, nat = 5, ntyp = 4
/
ATOMIC_SPECIES
Tl 204.38 Tl.upf
Te 127.60 Te.upf
Mo 95.94 Mo.upf
Rh 102.91 Rh.upf
ATOMIC_POSITIONS crystal
Tl 0.000 0.000 0.000
Te 0.500 0.500 0.500
Mo 0.000 0.000 0.500
Rh 0.000 0.500 0.000
Rh 0.500 0.000 0.000
CELL_PARAMETERS angstrom
4.926 0.000 0.000
0.000 4.926 0.000
0.000 0.000 5.094
```

VASP calculation (GGA-PBE) on a relaxed structure of TeMo2RhW. Values from VASP.

Space-group type: P4/mmm, No. 123
ΔE_f (raw) (eV/atom): 1.856
VASP energy (eV per formula unit): -35.8

Quantum ESPRESSO input file:
```
&SYSTEM
  ibrav = 0, nat = 5, ntyp = 4
/
ATOMIC_SPECIES
Te 127.60 Te.upf
Mo 95.94 Mo.upf
Rh 102.91 Rh.upf
W 183.84 W.upf
ATOMIC_POSITIONS crystal
Te 0.000 0.000 0.000
Mo 0.000 0.500 0.500
Mo 0.500 0.000 0.500
Rh 0.500 0.500 0.000
W 0.000 0.000 0.500
CELL_PARAMETERS angstrom
4.745 0.000 0.000
0.000 4.745 0.000
0.000 0.000 5.080
```